# Ba3SrCu2O6

A relaxed Ba3SrCu2O6 crystal (PBE-GGA, Alexandria).

Calculated total energy, eV/atom: -5.52

a = 6.3029 Å, b = 6.3029 Å, c = 7.0802 Å
α = 90.00°, β = 90.00°, γ = 120.00°
Last column: magnetic moment on the atom in μB.
Atoms (fractional coordinates):
Ba (0.3333, 0.6667, 0.6693)  -0.01
Ba (0.6667, 0.3333, 0.3307)  -0.01
Ba (0.0000, 0.0000, 0.0000)  0.00
Sr (0.0000, 0.0000, 0.5000)  0.01
Cu (0.6667, 0.3333, 0.7780)  0.49
Cu (0.3333, 0.6667, 0.2220)  0.49
O (0.6632, 0.8316, 0.2794)  0.15
O (0.1684, 0.3368, 0.2794)  0.15
O (0.1684, 0.8316, 0.2794)  0.15
O (0.8316, 0.6632, 0.7206)  0.15
O (0.3368, 0.1684, 0.7206)  0.15
O (0.8316, 0.1684, 0.7206)  0.15

***

# La2Pm3Sc

A relaxed La2Pm3Sc crystal (PBE-GGA, Alexandria).

ΔE_f, eV per atom: 0.097
Calculated total energy, eV/atom: -4.98

a = 5.7152 Å, b = 9.9186 Å, c = 7.0348 Å
α = 90.00°, β = 90.00°, γ = 90.00°
Atoms (fractional coordinates):
La (0.5000, 0.8322, 0.2555)
La (0.0000, 0.3322, 0.2445)
La (0.0000, 0.6678, 0.7555)
La (0.5000, 0.1678, 0.7445)
Pm (0.0000, 0.0000, 0.0000)
Pm (0.5000, 0.5000, 0.5000)
Pm (0.5000, 0.8307, 0.7490)
Pm (0.5000, 0.1693, 0.2510)
Pm (0.0000, 0.3307, 0.7510)
Pm (0.0000, 0.6693, 0.2490)
Sc (0.0000, 0.0000, 0.5000)
Sc (0.5000, 0.5000, 0.0000)

***

# La2PmIn3Te6

A relaxed La2PmIn3Te6 crystal (PBE-GGA, Alexandria).

Calculated total energy, eV/atom: -4.51

a = 7.9382 Å, b = 7.9382 Å, c = 8.5232 Å
α = 98.93°, β = 98.93°, γ = 119.98°
Atoms (fractional coordinates):
La (0.3334, 0.6666, 0.0000)
La (0.6666, 0.3334, 0.0000)
Pm (0.0000, 0.0000, 0.0000)
In (0.1670, 0.8330, 0.5000)
In (0.8330, 0.1670, 0.5000)
In (0.5000, 0.5000, 0.5000)
Te (0.9247, 0.5969, 0.7740)
Te (0.7481, 0.7481, 0.2276)
Te (0.0753, 0.4031, 0.2260)
Te (0.5969, 0.9247, 0.7740)
Te (0.2519, 0.2519, 0.7724)
Te (0.4031, 0.0753, 0.2260)

***

# BaTeMoI2

A relaxed BaTeMoI2 crystal (PBE-GGA, Alexandria).

Calculated total energy, eV/atom: -3.34

a = 6.5866 Å, b = 6.5866 Å, c = 6.8269 Å
α = 90.00°, β = 90.00°, γ = 90.00°
Last column: magnetic moment on the atom in μB.
Atoms (fractional coordinates):
I (0.0000, 0.5000, 0.0000)  -0.04
I (0.5000, 0.0000, 0.0000)  -0.04
Mo (0.5000, 0.5000, 0.5000)  4.12
Te (0.0000, 0.0000, 0.5000)  -0.51
Ba (0.0000, 0.0000, 0.0000)  0.00

***

# ScCo2Sn2

A relaxed ScCo2Sn2 crystal (PBE-GGA, Alexandria).

ΔE_f, eV per atom: -0.103
Calculated total energy, eV/atom: -5.81

a = 4.0586 Å, b = 4.0586 Å, c = 6.3102 Å
α = 71.24°, β = 71.24°, γ = 90.00°
Atoms (fractional coordinates):
Sc (0.0000, 0.0000, 0.0000)
Co (0.7500, 0.2500, 0.5000)
Co (0.2500, 0.7500, 0.5000)
Sn (0.3759, 0.3759, 0.2482)
Sn (0.6241, 0.6241, 0.7518)

***

# LaPr3Ni

A relaxed LaPr3Ni crystal (PBE-GGA, Alexandria).

ΔE_f, eV per atom: -0.118
Calculated total energy, eV/atom: -5.13

a = 3.8189 Å, b = 6.4339 Å, c = 13.3516 Å
α = 84.94°, β = 81.78°, γ = 72.74°
Atoms (fractional coordinates):
La (0.0995, 0.5176, 0.2833)
La (0.2219, 0.5513, 0.0050)
Pr (0.4340, 0.9858, 0.1462)
Pr (0.7786, 0.6814, 0.7615)
Pr (0.1134, 0.1471, 0.6261)
Pr (0.9921, 0.1130, 0.9028)
Pr (0.7800, 0.0522, 0.3877)
Pr (0.4338, 0.6111, 0.5214)
Ni (0.7458, 0.3653, 0.1430)
Ni (0.4617, 0.3120, 0.7647)

***

# ReGe2POs

A relaxed ReGe2POs crystal (PBE-GGA, Alexandria).

ΔE_f, eV per atom: 1.314
Calculated total energy, eV/atom: -6.35

a = 4.7275 Å, b = 4.8164 Å, c = 4.7275 Å
α = 90.00°, β = 90.00°, γ = 90.00°
Atoms (fractional coordinates):
Re (0.0000, 0.0000, 0.0000)
Ge (0.0000, 0.0000, 0.5000)
Ge (0.5000, 0.0000, 0.0000)
Os (0.0000, 0.5000, 0.0000)
P (0.5000, 0.5000, 0.5000)

***

# Nd5Ho2Th

A relaxed Nd5Ho2Th crystal (PBE-GGA, Alexandria).

ΔE_f, eV per atom: 0.026
Calculated total energy, eV/atom: -5.03

a = 5.1348 Å, b = 7.2494 Å, c = 14.5031 Å
α = 90.00°, β = 90.00°, γ = 90.00°
Atoms (fractional coordinates):
Nd (0.0000, 0.0000, 0.0000)
Nd (0.0000, 0.5000, 0.5000)
Nd (0.0000, 0.4933, 0.7517)
Nd (0.0000, 0.5067, 0.2483)
Nd (0.0000, 0.0067, 0.2517)
Nd (0.0000, 0.9933, 0.7483)
Nd (0.5000, 0.2521, 0.8769)
Nd (0.5000, 0.7479, 0.1231)
Nd (0.5000, 0.2479, 0.3769)
Nd (0.5000, 0.7521, 0.6231)
Ho (0.5000, 0.2401, 0.6221)
Ho (0.5000, 0.7599, 0.3779)
Ho (0.5000, 0.2599, 0.1221)
Ho (0.5000, 0.7401, 0.8779)
Th (0.0000, 0.0000, 0.5000)
Th (0.0000, 0.5000, 0.0000)

***

# AcLa4Dy

A relaxed AcLa4Dy crystal (PBE-GGA, Alexandria).

ΔE_f, eV per atom: 0.174
Calculated total energy, eV/atom: -4.56

a = 3.5905 Å, b = 6.3334 Å, c = 12.1712 Å
α = 119.33°, β = 90.00°, γ = 106.47°
Atoms (fractional coordinates):
Ac (0.5000, 0.0000, 0.0000)
La (0.1503, 0.3006, 0.8346)
La (0.8497, 0.6994, 0.1654)
La (0.6595, 0.3190, 0.3498)
La (0.3405, 0.6810, 0.6502)
Dy (0.0000, 0.0000, 0.5000)

***

# BeFe3Pt

A relaxed BeFe3Pt crystal (PBE-GGA, Alexandria).

ΔE_f, eV per atom: 1.427
Calculated total energy, eV/atom: -5.60

a = 4.6575 Å, b = 4.6575 Å, c = 4.6575 Å
α = 90.00°, β = 90.00°, γ = 90.00°
Last column: magnetic moment on the atom in μB.
Atoms (fractional coordinates):
Be (0.5000, 0.5000, 0.5000)  -0.08
Fe (0.0000, 0.5000, 0.0000)  3.24
Fe (0.0000, 0.0000, 0.5000)  3.65
Fe (0.5000, 0.0000, 0.0000)  2.56
Pt (0.0000, 0.0000, 0.0000)  0.47

***

# Li4PrAl

A relaxed Li4PrAl crystal (PBE-GGA, Alexandria).

ΔE_f, eV per atom: -0.052
Calculated total energy, eV/atom: -2.75

a = 5.5146 Å, b = 5.5146 Å, c = 5.5146 Å
α = 60.00°, β = 60.00°, γ = 60.00°
Atoms (fractional coordinates):
Pr (0.2500, 0.2500, 0.2500)
Al (0.0000, 0.0000, 0.0000)
Li (0.6271, 0.6271, 0.1186)
Li (0.6271, 0.1186, 0.6271)
Li (0.6271, 0.6271, 0.6271)
Li (0.1186, 0.6271, 0.6271)

***

# MnGa2Pd

A relaxed MnGa2Pd crystal (PBE-GGA, Alexandria).

ΔE_f, eV per atom: -0.180
Calculated total energy, eV/atom: -5.28

a = 4.2626 Å, b = 4.2626 Å, c = 4.2626 Å
α = 60.00°, β = 60.00°, γ = 60.00°
Atoms (fractional coordinates):
Mn (0.0000, 0.0000, 0.0000)
Ga (0.2500, 0.2500, 0.2500)
Ga (0.7500, 0.7500, 0.7500)
Pd (0.5000, 0.5000, 0.5000)

***

# InHg5Pb8

A relaxed InHg5Pb8 crystal (PBE-GGA, Alexandria).

ΔE_f, eV per atom: 0.033
Calculated total energy, eV/atom: -2.39

a = 8.1777 Å, b = 8.1777 Å, c = 8.1777 Å
α = 109.45°, β = 109.45°, γ = 109.51°
Atoms (fractional coordinates):
In (0.2500, 0.7500, 0.5000)
Hg (0.8739, 0.2477, 0.8771)
Hg (0.7523, 0.6294, 0.6262)
Hg (0.3706, 0.9968, 0.1229)
Hg (0.5000, 0.5000, 0.0000)
Hg (0.0032, 0.1261, 0.3738)
Pb (0.9550, 0.7066, 0.0821)
Pb (0.2934, 0.3755, 0.2484)
Pb (0.6263, 0.8769, 0.4139)
Pb (0.1231, 0.5370, 0.7494)
Pb (0.7876, 0.3737, 0.2506)
Pb (0.1271, 0.0450, 0.7516)
Pb (0.6245, 0.8729, 0.9179)
Pb (0.4630, 0.2124, 0.5861)

***

# NaBeAu2

A relaxed NaBeAu2 crystal (PBE-GGA, Alexandria).

ΔE_f, eV per atom: 0.008
Calculated total energy, eV/atom: -2.89

a = 5.3003 Å, b = 5.3003 Å, c = 8.3171 Å
α = 71.42°, β = 71.42°, γ = 90.00°
Atoms (fractional coordinates):
Na (0.0000, 0.0000, 0.0000)
Na (0.7500, 0.2500, 0.5000)
Au (0.3746, 0.1250, 0.2500)
Au (0.3754, 0.6250, 0.2500)
Au (0.3750, 0.6254, 0.7500)
Au (0.8750, 0.6246, 0.7500)
Be (0.5000, 0.5000, 0.0000)
Be (0.2500, 0.7500, 0.5000)

***

# Ac8PtRh3I3

A relaxed Ac8PtRh3I3 crystal (PBE-GGA, Alexandria).

Calculated total energy, eV/atom: -5.34

a = 8.8084 Å, b = 8.7993 Å, c = 9.9580 Å
α = 116.19°, β = 89.96°, γ = 120.03°
Atoms (fractional coordinates):
Ac (0.2707, 0.5417, 0.3127)
Ac (0.7293, 0.4583, 0.6873)
Ac (0.7690, 0.5381, 0.3146)
Ac (0.2310, 0.4619, 0.6854)
Ac (0.7685, 0.0453, 0.3140)
Ac (0.2315, 0.9547, 0.6860)
Ac (0.2767, 0.0454, 0.3140)
Ac (0.7233, 0.9546, 0.6860)
Pt (0.0000, 0.0000, 0.5000)
Rh (0.5000, 0.0000, 0.5000)
Rh (0.5000, 0.5000, 0.5000)
Rh (0.0000, 0.5000, 0.5000)
I (0.0000, 0.0000, 0.0000)
I (0.0000, 0.5000, 0.0000)
I (0.5000, 0.5000, 0.0000)

***

# YTl2Zn

A relaxed YTl2Zn crystal (PBE-GGA, Alexandria).

ΔE_f, eV per atom: -0.119
Calculated total energy, eV/atom: -3.24

a = 5.9894 Å, b = 5.9894 Å, c = 4.8350 Å
α = 66.14°, β = 66.14°, γ = 40.03°
Atoms (fractional coordinates):
Tl (0.0169, 0.0169, 0.9831)
Tl (0.4831, 0.4831, 0.5169)
Y (0.2500, 0.2500, 0.2500)
Zn (0.7500, 0.7500, 0.7500)

***

# CsCd3Cl

A relaxed CsCd3Cl crystal (PBE-GGA, Alexandria).

Calculated total energy, eV/atom: -1.20

a = 6.2744 Å, b = 6.2744 Å, c = 6.2744 Å
α = 90.00°, β = 90.00°, γ = 90.00°
Atoms (fractional coordinates):
Cs (0.5000, 0.5000, 0.5000)
Cd (0.0000, 0.5000, 0.0000)
Cd (0.0000, 0.0000, 0.5000)
Cd (0.5000, 0.0000, 0.0000)
Cl (0.0000, 0.0000, 0.0000)

***

# TmCuAgHg

A relaxed TmCuAgHg crystal (PBE-GGA, Alexandria).

ΔE_f, eV per atom: -0.189
Calculated total energy, eV/atom: -3.12

a = 4.7958 Å, b = 4.7958 Å, c = 4.7958 Å
α = 60.00°, β = 60.00°, γ = 60.00°
Atoms (fractional coordinates):
Tm (0.0000, 0.0000, 0.0000)
Hg (0.5000, 0.5000, 0.5000)
Ag (0.7500, 0.7500, 0.7500)
Cu (0.2500, 0.2500, 0.2500)

***

# Ni4OsPd

A relaxed Ni4OsPd crystal (PBE-GGA, Alexandria).

ΔE_f, eV per atom: 0.192
Calculated total energy, eV/atom: -6.40

a = 4.6960 Å, b = 4.6960 Å, c = 4.6960 Å
α = 60.00°, β = 60.00°, γ = 60.00°
Last column: magnetic moment on the atom in μB.
Atoms (fractional coordinates):
Ni (0.6250, 0.6250, 0.1251)  0.67
Ni (0.6250, 0.1251, 0.6250)  0.67
Ni (0.6250, 0.6250, 0.6250)  0.67
Ni (0.1251, 0.6250, 0.6250)  0.67
Os (0.2500, 0.2500, 0.2500)  1.23
Pd (0.0000, 0.0000, 0.0000)  0.17

***

# Li2Ti2O5

A relaxed Li2Ti2O5 crystal (PBE-GGA, Alexandria).

Calculated total energy, eV/atom: -7.65

a = 5.3458 Å, b = 8.5229 Å, c = 11.7882 Å
α = 68.94°, β = 90.00°, γ = 90.00°
Atoms (fractional coordinates):
Li (0.1791, 0.0992, 0.0191)
Li (0.3293, 0.9020, 0.3117)
Li (0.8293, 0.0980, 0.1883)
Li (0.6791, 0.9008, 0.4809)
Li (0.3209, 0.0992, 0.5191)
Li (0.1707, 0.9020, 0.8117)
Li (0.6707, 0.0980, 0.6883)
Li (0.8209, 0.9008, 0.9809)
Ti (0.6833, 0.2876, 0.8876)
Ti (0.8188, 0.7110, 0.2776)
Ti (0.1833, 0.7124, 0.6124)
Ti (0.6812, 0.7110, 0.7776)
Ti (0.3188, 0.2890, 0.2224)
Ti (0.8167, 0.2876, 0.3876)
Ti (0.1812, 0.2890, 0.7224)
Ti (0.3167, 0.7124, 0.1124)
O (0.7987, 0.1219, 0.0149)
O (0.3396, 0.2620, 0.8697)
O (0.1628, 0.7368, 0.2473)
O (0.2512, 0.5004, 0.6124)
O (0.7512, 0.4996, 0.8876)
O (0.7157, 0.8778, 0.3208)
O (0.8396, 0.7380, 0.6303)
O (0.2987, 0.8781, 0.4851)
O (0.2157, 0.1222, 0.1792)
O (0.3372, 0.7368, 0.7473)
O (0.6628, 0.2632, 0.2527)
O (0.7843, 0.8778, 0.8208)
O (0.7013, 0.1219, 0.5149)
O (0.1604, 0.2620, 0.3697)
O (0.2843, 0.1222, 0.6792)
O (0.2488, 0.5004, 0.1124)
O (0.7488, 0.4996, 0.3876)
O (0.8372, 0.2632, 0.7527)
O (0.6604, 0.7380, 0.1303)
O (0.2013, 0.8781, 0.9851)

***

# Pm6Sm3Er2In

A relaxed Pm6Sm3Er2In crystal (PBE-GGA, Alexandria).

ΔE_f, eV per atom: -0.032
Calculated total energy, eV/atom: -4.58

a = 6.2305 Å, b = 6.2305 Å, c = 11.7933 Å
α = 95.14°, β = 95.14°, γ = 120.19°
Atoms (fractional coordinates):
Pm (0.9201, 0.5931, 0.7566)
Pm (0.7536, 0.7536, 0.2456)
Pm (0.0799, 0.4069, 0.2434)
Pm (0.5931, 0.9201, 0.7566)
Pm (0.2464, 0.2464, 0.7544)
Pm (0.4069, 0.0799, 0.2434)
Sm (0.1685, 0.8315, 0.5000)
Sm (0.8315, 0.1685, 0.5000)
Sm (0.5000, 0.5000, 0.5000)
Er (0.3341, 0.6659, 0.0000)
Er (0.6659, 0.3341, 0.0000)
In (0.0000, 0.0000, 0.0000)

***

# AgN4

A relaxed AgN4 crystal (PBE-GGA, Alexandria).

Calculated total energy, eV/atom: -3.53

a = 4.3962 Å, b = 4.3962 Å, c = 4.3962 Å
α = 90.00°, β = 90.00°, γ = 90.00°
Last column: magnetic moment on the atom in μB.
Atoms (fractional coordinates):
Ag (0.5000, 0.5000, 0.5000)  0.24
N (0.0000, 0.0000, 0.0000)  1.94
N (0.5000, 0.0000, 0.5000)  1.37
N (0.0000, 0.5000, 0.5000)  1.37
N (0.5000, 0.5000, 0.0000)  1.37

***

# KInOs2

A relaxed KInOs2 crystal (PBE-GGA, Alexandria).

ΔE_f, eV per atom: 1.314
Calculated total energy, eV/atom: -5.26

a = 4.7113 Å, b = 4.7113 Å, c = 4.7113 Å
α = 119.98°, β = 119.98°, γ = 90.04°
Atoms (fractional coordinates):
In (0.5000, 0.5000, 0.0000)
K (0.7500, 0.2500, 0.5000)
Os (0.0000, 0.0000, 0.0000)
Os (0.2500, 0.7500, 0.5000)

***

Number 1: spin magnetization 0.1684 μB/atom. Number 2: spin magnetization 0.0001 μB/atom. Number 3: spin magnetization 0.0000 μB/atom. Number 4: spin magnetization 0.7979 μB/atom. Number 5: spin magnetization 0.0000 μB/atom. Number 6: spin magnetization 0.0000 μB/atom. Number 7: spin magnetization 0.0000 μB/atom. Number 8: spin magnetization 0.0000 μB/atom. Number 9: spin magnetization 0.0000 μB/atom. Number 10: spin magnetization 1.9520 μB/atom. Number 11: spin magnetization 0.0000 μB/atom. Number 12: spin magnetization 0.0000 μB/atom. Number 13: spin magnetization 0.0000 μB/atom. Number 14: spin magnetization 0.0000 μB/atom. Number 15: spin magnetization 0.0292 μB/atom. Number 16: spin magnetization 0.0000 μB/atom. Number 17: spin magnetization 0.0000 μB/atom. Number 18: spin magnetization 0.0000 μB/atom. Number 19: spin magnetization 0.6620 μB/atom. Number 20: spin magnetization 0.0000 μB/atom. Number 21: spin magnetization 0.0000 μB/atom. Number 22: spin magnetization 1.8373 μB/atom. Number 23: spin magnetization 0.0000 μB/atom.